Entry from Alexandria: a PBEsol-optimized structure of HgAs2NF (meta-GGA SCAN). Values from VASP.

Computed properties:
formation energy (no corrections): 1295 meV/atom
theoretical density: 5.548 g cm⁻³
magnetic moment: 0.1 μB/f.u.

Geometry as Quantum ESPRESSO input:
```
&SYSTEM
  ibrav = 0, nat = 5, ntyp = 4
/
ATOMIC_SPECIES
As 74.92 As.upf
Hg 200.59 Hg.upf
F 19.00 F.upf
N 14.01 N.upf
CELL_PARAMETERS angstrom
4.398 0.000 0.000
0.000 5.108 0.000
0.000 0.000 5.108
ATOMIC_POSITIONS angstrom
As 0.000 2.554 0.000
As 0.000 0.000 2.554
Hg 0.000 0.000 0.000
F 2.199 0.000 0.000
N 2.199 2.554 2.554
```